[1]
Below is a relaxed YLuSe3 crystal, with properties calculated at the GGA-PBE level.

The polymorph energy (0 for the lowest one) is 785 meV per atom. For the total magnetic moment, the calculation gives 0.00 μB per formula unit. As for the uncorrected formation energy: -1.10 eV/atom.

Lattice parameters (Å, degrees): 8.979 8.979 5.476 90.00 90.00 144.39
Fractional positions:
Y (0.156, 0.844, 0.750)
Y (0.844, 0.156, 0.250)
Lu (0.447, 0.553, 0.750)
Lu (0.553, 0.447, 0.250)
Se (0.000, 0.000, 0.000)
Se (0.000, 0.000, 0.500)
Se (0.055, 0.434, 0.750)
Se (0.434, 0.055, 0.250)
Se (0.566, 0.945, 0.750)
Se (0.945, 0.566, 0.250)

[2]
Below is a relaxed LiScBi3 crystal, with properties calculated at the GGA-PBE level.

As for the formation energy: 0.023 eV per atom. The polymorph energy (0 for the lowest one) is 0 meV per atom. For the total magnetic moment, the calculation gives 0.00 μB per formula unit.

Lattice parameters (Å, degrees): 5.634 5.634 5.634 90.00 90.00 90.00
Fractional positions:
Li (0.000, 0.000, 0.000)
Sc (0.500, 0.500, 0.500)
Bi (0.000, 0.500, 0.500)
Bi (0.500, 0.000, 0.500)
Bi (0.500, 0.500, 0.000)

[3]
Below is a relaxed HSBr2 crystal, with properties calculated at the GGA-PBE level.

The polymorph energy (0 for the lowest one) is 689 meV per atom. For the total magnetic moment, the calculation gives 0.91 μB per formula unit.

Lattice parameters (Å, degrees): 4.838 4.838 4.838 60.00 60.00 60.00
Fractional positions:
H (0.000, 0.000, 0.000)
S (0.500, 0.500, 0.500)
Br (0.250, 0.250, 0.250)
Br (0.750, 0.750, 0.750)

[4]
Below is a relaxed BeTl2SiSe4 crystal, with properties calculated at the GGA-PBE level.

For the total magnetic moment, the calculation gives 0.00 μB per formula unit. As for the uncorrected formation energy: -0.49 eV/atom.

Lattice parameters (Å, degrees): 6.559 6.559 6.559 114.36 114.36 100.08
Fractional positions:
Be (0.000, 0.000, 0.000)
Tl (0.250, 0.750, 0.500)
Tl (0.500, 0.500, 0.000)
Si (0.750, 0.250, 0.500)
Se (0.026, 0.633, 0.886)
Se (0.367, 0.253, 0.392)
Se (0.747, 0.139, 0.114)
Se (0.861, 0.974, 0.608)

[5]
Below is a relaxed K3CdN crystal, with properties calculated at the GGA-PBE level.

The polymorph energy (0 for the lowest one) is 0 meV per atom. For the total magnetic moment, the calculation gives 0.64 μB per formula unit. As for the uncorrected formation energy: 0.40 eV/atom.

Lattice parameters (Å, degrees): 5.639 5.639 5.639 90.00 90.00 90.00
Fractional positions:
K (0.000, 0.000, 0.500)
K (0.000, 0.500, 0.000)
K (0.500, 0.000, 0.000)
Cd (0.500, 0.500, 0.500)
N (0.000, 0.000, 0.000)

[6]
Below is a relaxed MgInGa2O6 crystal, with properties calculated at the GGA-PBE level.

For the total magnetic moment, the calculation gives 1.03 μB per formula unit. As for the uncorrected formation energy: -1.78 eV/atom.

Lattice parameters (Å, degrees): 6.770 6.770 5.471 96.73 96.73 88.51
Fractional positions:
Mg (0.223, 0.777, 0.750)
Mg (0.777, 0.223, 0.250)
In (0.411, 0.589, 0.250)
In (0.589, 0.411, 0.750)
Ga (0.105, 0.274, 0.820)
Ga (0.274, 0.105, 0.320)
Ga (0.726, 0.895, 0.680)
Ga (0.895, 0.726, 0.180)
O (0.059, 0.217, 0.133)
O (0.125, 0.660, 0.379)
O (0.217, 0.059, 0.633)
O (0.291, 0.480, 0.869)
O (0.340, 0.875, 0.121)
O (0.480, 0.291, 0.369)
O (0.520, 0.709, 0.631)
O (0.660, 0.125, 0.879)
O (0.709, 0.520, 0.131)
O (0.783, 0.941, 0.367)
O (0.875, 0.340, 0.621)
O (0.941, 0.783, 0.867)

[7]
Below is a relaxed PtPbCl4 crystal, with properties calculated at the GGA-PBE level.

The polymorph energy (0 for the lowest one) is 1372 meV per atom. For the total magnetic moment, the calculation gives 1.46 μB per formula unit. As for the uncorrected formation energy: 0.63 eV/atom.

Lattice parameters (Å, degrees): 5.837 5.837 5.837 60.00 60.00 60.00
Fractional positions:
Pt (0.000, 0.000, 0.000)
Pb (0.250, 0.250, 0.250)
Cl (0.123, 0.626, 0.626)
Cl (0.626, 0.123, 0.626)
Cl (0.626, 0.626, 0.123)
Cl (0.626, 0.626, 0.626)

[8]
Below is a relaxed La5HoTh crystal, with properties calculated at the GGA-PBE level.

As for the formation energy: 0.892 eV per atom. For the total magnetic moment, the calculation gives 0.00 μB per formula unit.

Lattice parameters (Å, degrees): 8.191 8.191 8.191 137.38 112.91 82.81
Fractional positions:
La (0.000, 0.000, 0.000)
La (0.251, 0.751, 0.500)
La (0.319, 0.500, 0.819)
La (0.681, 0.500, 0.181)
La (0.749, 0.249, 0.500)
Ho (0.000, 0.500, 0.500)
Th (0.500, 0.000, 0.500)